Entry from OQMD: a geometry-optimized CdRe structure (PBE).

Lattice parameters (Å, degrees): 3.8253 3.8253 3.8253 60.00 60.00 60.00
With the nearest neighbours (Å) after each atom.
Atoms (fractional coordinates):
Cd 0.0000 0.0000 0.0000  6 Re 2.70
Re 0.5000 0.5000 0.5000  6 Cd 2.70

Energy relative to the elements ... 2.0568 eV/atom


Entry from OQMD: a geometry-optimized CdRe2 structure (PBE).

Lattice parameters (Å, degrees): 8.7485 8.7485 8.7485 60.00 60.00 60.00
With the nearest neighbours (Å) after each atom.
Atoms (fractional coordinates):
Cd 0.2500 0.2500 0.2500  4 Re 2.68
Cd 0.5000 0.5000 0.5000  4 Re 2.68
Re 0.8750 0.3750 0.3750  2 Cd 2.68
Re 0.3750 0.8750 0.3750  2 Cd 2.68
Re 0.3750 0.3750 0.3750  2 Cd 2.68
Re 0.3750 0.3750 0.8750  2 Cd 2.68

Energy relative to the elements ... 4.5342 eV/atom


Entry from OQMD: a geometry-optimized CdRe2 structure (PBE).

Lattice parameters (Å, degrees): 4.3010 4.3010 4.3010 60.00 60.00 60.00
With the nearest neighbours (Å) after each atom.
Atoms (fractional coordinates):
Cd 0.0000 0.0000 0.0000  8 Re 2.63
Re 0.2500 0.2500 0.2500  4 Cd 2.63
Re 0.7500 0.7500 0.7500  4 Cd 2.63

Energy relative to the elements ... 2.0745 eV/atom


Entry from OQMD: a geometry-optimized CdRe structure (PBE).

Lattice parameters (Å, degrees): 4.3774 4.3774 4.3774 60.00 60.00 60.00
With the nearest neighbours (Å) after each atom.
Atoms (fractional coordinates):
Cd 0.0000 0.0000 0.0000  4 Re 2.68
Re 0.2500 0.2500 0.2500  4 Cd 2.68

Energy relative to the elements ... 2.8635 eV/atom


Entry from OQMD: a geometry-optimized Cd2Re structure (PBE).

Lattice parameters (Å, degrees): 4.7282 4.7282 2.7633 90.00 90.00 120.00
With the nearest neighbours (Å) after each atom.
Atoms (fractional coordinates):
Cd 0.3333 0.6667 0.4059  5 Cd 2.76-2.78, 3 Re 2.95
Cd 0.6667 0.3333 0.5941  5 Cd 2.76-2.78, 3 Re 2.95
Re 0.0000 0.0000 0.0000  2 Re 2.76, 6 Cd 2.95

Energy relative to the elements ... 0.7494 eV/atom


Entry from OQMD: a geometry-optimized CdRe2Sb structure (PBE).

Lattice parameters (Å, degrees): 4.6645 4.6645 4.6645 60.00 60.00 60.00
With the nearest neighbours (Å) after each atom.
Atoms (fractional coordinates):
Cd 0.2500 0.2500 0.2500  4 Re 2.86, 4 Sb 2.86
Re 0.0000 0.0000 0.0000  4 Re 2.86, 4 Cd 2.86
Re 0.7500 0.7500 0.7500  4 Re 2.86, 4 Sb 2.86
Sb 0.5000 0.5000 0.5000  4 Re 2.86, 4 Cd 2.86

Calculated total energy ... -26.2 eV/f.u.


Entry from OQMD: a geometry-optimized CdReSb2 structure (PBE).

Lattice parameters (Å, degrees): 4.9322 4.9322 4.9322 60.00 60.00 60.00
With the nearest neighbours (Å) after each atom.
Atoms (fractional coordinates):
Cd 0.5000 0.5000 0.5000  4 Re 3.02, 4 Sb 3.02
Re 0.7500 0.7500 0.7500  4 Sb 3.02, 4 Cd 3.02
Sb 0.0000 0.0000 0.0000  4 Re 3.02, 4 Sb 3.02
Sb 0.2500 0.2500 0.2500  4 Cd 3.02, 4 Sb 3.02

Calculated total energy ... -17.8 eV/f.u.


Entry from OQMD: a geometry-optimized ScCd3Re structure (PBE).

Lattice parameters (Å, degrees): 3.4834 13.6538 13.6538 18.34 90.00 90.00
With the nearest neighbours (Å) after each atom.
Atoms (fractional coordinates):
Cd 0.0000 0.0577 0.0577  5 Cd 2.79-3.02, 2 Re 2.90
Cd 0.0000 0.2791 0.2791  1 Re 2.57, 2 Cd 2.63
Cd 0.5000 0.4526 0.4526  5 Cd 2.65-2.79, 2 Re 2.73
Cd 0.5000 0.5508 0.5508  5 Cd 2.65-2.79, 2 Re 2.73
Cd 0.0000 0.7244 0.7244  1 Re 2.57, 2 Cd 2.63
Cd 0.0000 0.9457 0.9457  5 Cd 2.79-3.02, 2 Re 2.90
Re 0.0000 0.3744 0.3744  3 Cd 2.57-2.73
Re 0.0000 0.6290 0.6290  3 Cd 2.57-2.73
Sc 0.5000 0.1565 0.1565  4 Re 2.88, 2 Cd 3.18
Sc 0.5000 0.8469 0.8469  4 Re 2.88, 2 Cd 3.18

Energy relative to the elements ... 0.3750 eV/atom


Entry from OQMD: a geometry-optimized SmCdRe structure (PBE).

Lattice parameters (Å, degrees): 4.7118 4.7118 4.7118 60.00 60.00 60.00
With the nearest neighbours (Å) after each atom.
Atoms (fractional coordinates):
Cd 0.0000 0.0000 0.0000  4 Sm 2.89, 4 Re 2.89
Re 0.2500 0.2500 0.2500  4 Cd 2.89
Sm 0.7500 0.7500 0.7500  4 Cd 2.89

Energy relative to the elements ... 1.0003 eV/atom


Entry from OQMD: a geometry-optimized SmCdRe structure (PBE).

Lattice parameters (Å, degrees): 4.8585 4.8585 4.8585 60.00 60.00 60.00
With the nearest neighbours (Å) after each atom.
Atoms (fractional coordinates):
Cd 0.2500 0.2500 0.2500  4 Sm 2.98
Re 0.7500 0.7500 0.7500  4 Sm 2.98
Sm 0.0000 0.0000 0.0000  4 Re 2.98, 4 Cd 2.98

Energy relative to the elements ... 1.3363 eV/atom


Entry from OQMD: a geometry-optimized CdReSn2 structure (PBE).

Lattice parameters (Å, degrees): 4.9337 4.9337 4.9337 60.00 60.00 60.00
With the nearest neighbours (Å) after each atom.
Atoms (fractional coordinates):
Cd 0.5000 0.5000 0.5000  4 Sn 3.02, 4 Re 3.02
Re 0.7500 0.7500 0.7500  4 Sn 3.02, 4 Cd 3.02
Sn 0.0000 0.0000 0.0000  4 Re 3.02, 4 Sn 3.02
Sn 0.2500 0.2500 0.2500  4 Cd 3.02, 4 Sn 3.02

Calculated total energy ... -17.8 eV/f.u.


Entry from OQMD: a geometry-optimized CdReSn structure (PBE).

Lattice parameters (Å, degrees): 4.5566 4.5566 4.5566 60.00 60.00 60.00
With the nearest neighbours (Å) after each atom.
Atoms (fractional coordinates):
Cd 0.2500 0.2500 0.2500  4 Re 2.79
Re 0.0000 0.0000 0.0000  4 Cd 2.79, 4 Sn 2.79
Sn 0.7500 0.7500 0.7500  4 Re 2.79

Calculated total energy ... -14.9 eV/f.u.


Total magnetization: 1.3; 8.6; 0.4; 3.0; 0.0; 0.1; 0.1; 0.0; 1.1; 2.0; 0.8; 0.7 (μB per formula unit)